Compound: LiZrAlHg
Source: the Alexandria database
Functional: GGA-PBE
Structure: relaxed

a = 4.7781 Å, b = 4.7781 Å, c = 4.7781 Å
α = 60.00°, β = 60.00°, γ = 60.00°
With the nearest neighbours (Å) after each atom.
Fractional positions:
Li1 0.0000 0.0000 0.0000  4 Hg 2.93, 4 Al 2.93
Zr1 0.5000 0.5000 0.5000  4 Hg 2.93, 4 Al 2.93
Al1 0.2500 0.2500 0.2500  4 Zr 2.93, 4 Li 2.93
Hg1 0.7500 0.7500 0.7500  4 Li 2.93, 4 Zr 2.93

Total energy, eV per cell: -15.2
Energy of formation from the pure elements, kJ per mole of atoms: -16.7
Space group: F-43m
Size of the total moment, μB/f.u.: 0.0

---

Compound: Rb3U2AuSe6
Source: the Alexandria database
Functional: GGA-PBE
Structure: relaxed

a = 7.6521 Å, b = 7.6521 Å, c = 8.1766 Å
α = 97.04°, β = 97.04°, γ = 124.45°
With the nearest neighbours (Å) after each atom.
Fractional positions:
Rb1 0.0000 0.0000 0.0000  6 Se 3.57-3.65
Rb2 0.3504 0.6496 0.0000  6 Se 3.33-3.49
Rb3 0.6496 0.3504 0.0000  6 Se 3.33-3.49
U1 0.1672 0.8328 0.5000  6 Se 2.79-2.96
U2 0.8328 0.1672 0.5000  6 Se 2.79-2.96
Au1 0.5000 0.5000 0.5000  2 Se 2.58
Se1 0.0554 0.4405 0.2898  2 U 2.79-2.86
Se2 0.2416 0.2416 0.6687  1 Au 2.58
Se3 0.4405 0.0554 0.2898  2 U 2.79-2.86
Se4 0.5595 0.9446 0.7102  2 U 2.79-2.86
Se5 0.7584 0.7584 0.3313  1 Au 2.58
Se6 0.9446 0.5595 0.7102  2 U 2.79-2.86

Total energy, eV per cell: -62.1
ΔE_f (raw), eV per atom: -1.03
Space group: C2/m
Size of the total moment, μB/f.u.: 4.0

---

Compound: Li2RuSe
Source: the Alexandria database
Functional: GGA-PBE
Structure: relaxed

a = 3.7472 Å, b = 3.7472 Å, c = 3.9212 Å
α = 90.00°, β = 90.00°, γ = 90.00°
With the nearest neighbours (Å) after each atom.
Fractional positions:
Li1 0.0000 0.5000 0.0000  4 Li 2.65, 4 Se 2.71, 4 Ru 2.71
Li2 0.5000 0.0000 0.0000  4 Li 2.65, 4 Se 2.71, 4 Ru 2.71
Ru1 0.0000 0.0000 0.5000  4 Se 2.65, 8 Li 2.71
Se1 0.5000 0.5000 0.5000  4 Ru 2.65, 8 Li 2.71

Total energy, eV per cell: -17.4
ΔE_f (raw), eV per atom: -0.20
Space group: P4/mmm
Size of the total moment, μB/f.u.: 0.6